# Tm10S19 (PBE, relaxed)
# size of the total moment: 0.00 μB per cell
# raw total energy: -6.007 eV per atom
# calculated volume: 1134 Å³/cell
data_Tm10S19
_symmetry_space_group_name_H-M 'P 42/n'
_symmetry_Int_Tables_number 86
_cell_length_a 8.532
_cell_length_b 8.532
_cell_length_c 15.585
_cell_angle_alpha 90.00
_cell_angle_beta 90.00
_cell_angle_gamma 90.00
loop_
_symmetry_equiv_pos_as_xyz
'x,y,z'
'-x,-y,-z'
'-y,x+1/2,z+1/2'
'y,-x+1/2,-z+1/2'
'-x+1/2,-y+1/2,z'
'x+1/2,y+1/2,-z'
'y+1/2,-x,z+1/2'
'-y+1/2,x,-z+1/2'
loop_
_atom_site_label
_atom_site_fract_x
_atom_site_fract_y
_atom_site_fract_z
_atom_site_occupancy
Tm1 0.041 0.152 0.121 1
Tm2 0.054 0.145 0.605 1
Tm3 0.250 0.750 0.116 1
S1 0.030 0.689 0.250 1
S2 0.049 0.152 0.429 1
S3 0.054 0.149 0.938 1
S4 0.069 0.616 0.750 1
S5 0.250 0.250 0.250 1
S6 0.250 0.750 0.436 1

---

# TmS (PBE, relaxed)
# size of the total moment: 0.00 μB per cell
# raw total energy: -6.228 eV per atom
# calculated volume: 160 Å³/cell
data_TmS
_symmetry_space_group_name_H-M 'F m -3 m'
_symmetry_Int_Tables_number 225
_symmetry_space_group_name_Hall '-F 4 2 3'
_cell_length_a 5.424
_cell_length_b 5.424
_cell_length_c 5.424
_cell_angle_alpha 90.00
_cell_angle_beta 90.00
_cell_angle_gamma 90.00
loop_
_atom_site_label
_atom_site_fract_x
_atom_site_fract_y
_atom_site_fract_z
_atom_site_occupancy
Tm1 0.000 0.000 0.000 1
S1 0.000 0.000 0.500 1

---

# TmS (PBE, relaxed)
# size of the total moment: 0.02 μB per cell
# raw total energy: -5.824 eV per atom
# calculated volume: 218 Å³/cell
data_TmS
_symmetry_space_group_name_H-M 'F -4 3 m'
_symmetry_Int_Tables_number 216
_symmetry_space_group_name_Hall 'F -4 2 3'
_cell_length_a 6.018
_cell_length_b 6.018
_cell_length_c 6.018
_cell_angle_alpha 90.00
_cell_angle_beta 90.00
_cell_angle_gamma 90.00
loop_
_atom_site_label
_atom_site_fract_x
_atom_site_fract_y
_atom_site_fract_z
_atom_site_occupancy
Tm1 0.000 0.000 0.000 1
S1 0.250 0.250 0.250 1

---

# Tm2S3 (PBE, relaxed)
# size of the total moment: 0.00 μB per cell
# raw total energy: -6.322 eV per atom
# calculated volume: 445 Å³/cell
data_Tm2S3
_symmetry_space_group_name_H-M 'P 1 21/m 1'
_symmetry_Int_Tables_number 11
_cell_length_a 10.881
_cell_length_b 3.879
_cell_length_c 11.140
_cell_angle_alpha 90.00
_cell_angle_beta 108.87
_cell_angle_gamma 90.00
loop_
_symmetry_equiv_pos_as_xyz
'x,y,z'
'-x,-y,-z'
'-x,y+1/2,-z'
'x,-y+1/2,z'
loop_
_atom_site_label
_atom_site_fract_x
_atom_site_fract_y
_atom_site_fract_z
_atom_site_occupancy
Tm1 0.044 0.250 0.190 1
Tm2 0.160 0.250 0.584 1
Tm3 0.317 0.750 0.997 1
Tm4 0.432 0.250 0.332 1
S1 0.082 0.750 0.402 1
S2 0.110 0.250 0.963 1
S3 0.191 0.750 0.750 1
S4 0.254 0.750 0.223 1
S5 0.398 0.250 0.563 1
S6 0.478 0.250 0.113 1

---

# Tm5S7 (PBE, relaxed)
# size of the total moment: 0.01 μB per cell
# raw total energy: -6.328 eV per atom
# calculated volume: 526 Å³/cell
data_Tm5S7
_symmetry_space_group_name_H-M 'C 1 2/m 1'
_symmetry_Int_Tables_number 12
_cell_length_a 12.634
_cell_length_b 3.749
_cell_length_c 11.459
_cell_angle_alpha 90.00
_cell_angle_beta 104.44
_cell_angle_gamma 90.00
loop_
_symmetry_equiv_pos_as_xyz
'x,y,z'
'-x,-y,-z'
'-x,y,-z'
'x,-y,z'
'x+1/2,y+1/2,z'
'-x+1/2,-y+1/2,-z'
'-x+1/2,y+1/2,-z'
'x+1/2,-y+1/2,z'
loop_
_atom_site_label
_atom_site_fract_x
_atom_site_fract_y
_atom_site_fract_z
_atom_site_occupancy
Tm1 0.000 0.000 0.000 1
Tm2 0.112 0.000 0.421 1
Tm3 0.200 0.500 0.813 1
S1 0.000 0.500 0.500 1
S2 0.041 0.000 0.785 1
S3 0.159 0.500 0.051 1
S4 0.241 0.500 0.352 1

---

# Tm2S3 (PBE, relaxed)
# size of the total moment: 0.00 μB per cell
# raw total energy: -6.331 eV per atom
# calculated volume: 688 Å³/cell
data_Tm2S3
_symmetry_space_group_name_H-M 'P 1 21/m 1'
_symmetry_Int_Tables_number 11
_cell_length_a 10.058
_cell_length_b 3.967
_cell_length_c 17.444
_cell_angle_alpha 90.00
_cell_angle_beta 98.64
_cell_angle_gamma 90.00
loop_
_symmetry_equiv_pos_as_xyz
'x,y,z'
'-x,-y,-z'
'-x,y+1/2,-z'
'x,-y+1/2,z'
loop_
_atom_site_label
_atom_site_fract_x
_atom_site_fract_y
_atom_site_fract_z
_atom_site_occupancy
Tm1 0.013 0.250 0.100 1
Tm2 0.049 0.750 0.615 1
Tm3 0.311 0.250 0.479 1
Tm4 0.313 0.250 0.779 1
Tm5 0.330 0.750 0.282 1
Tm6 0.376 0.250 0.070 1
S1 0.115 0.750 0.467 1
S2 0.133 0.250 0.969 1
S3 0.138 0.750 0.782 1
S4 0.180 0.250 0.318 1
S5 0.210 0.750 0.131 1
S6 0.232 0.250 0.627 1
S7 0.448 0.250 0.925 1
S8 0.452 0.750 0.424 1
S9 0.492 0.250 0.232 1

---

# Tm8S (PBE, relaxed)
# size of the total moment: 0.02 μB per cell
# raw total energy: -4.809 eV per atom
# calculated volume: 250 Å³/cell
data_Tm8S
_symmetry_space_group_name_H-M 'P -6 2 m'
_symmetry_Int_Tables_number 189
_symmetry_space_group_name_Hall 'P -6 -2'
_cell_length_a 8.8647
_cell_length_b 8.8647
_cell_length_c 3.6795
_cell_angle_alpha 90.00
_cell_angle_beta 90.00
_cell_angle_gamma 120.00
loop_
_atom_site_label
_atom_site_fract_x
_atom_site_fract_y
_atom_site_fract_z
_atom_site_occupancy
Tm1 0.0000 0.2460 0.0000 1
Tm2 0.0000 0.6019 0.5000 1
Tm3 0.3333 0.6667 0.0000 1
S1 0.0000 0.0000 0.5000 1

---

# Tm2S3 (PBE, relaxed)
# size of the total moment: 0.00 μB per cell
# raw total energy: -6.315 eV per atom
# calculated volume: 414 Å³/cell
data_Tm2S3
_symmetry_space_group_name_H-M 'P n m a'
_symmetry_Int_Tables_number 62
_cell_length_a 10.492
_cell_length_b 3.806
_cell_length_c 10.366
_cell_angle_alpha 90.00
_cell_angle_beta 90.00
_cell_angle_gamma 90.00
loop_
_symmetry_equiv_pos_as_xyz
'x,y,z'
'-x,-y,-z'
'-x+1/2,-y,z+1/2'
'x+1/2,y,-z+1/2'
'x+1/2,-y+1/2,-z+1/2'
'-x+1/2,y+1/2,z+1/2'
'-x,y+1/2,-z'
'x,-y+1/2,z'
loop_
_atom_site_label
_atom_site_fract_x
_atom_site_fract_y
_atom_site_fract_z
_atom_site_occupancy
Tm1 0.011 0.250 0.187 1
Tm2 0.192 0.250 0.504 1
S1 0.046 0.750 0.374 1
S2 0.119 0.250 0.944 1
S3 0.227 0.750 0.695 1